(1)
# ZnICl2

A relaxed ZnICl2 crystal (PBE-GGA, the Alexandria database).

Values from the calculation:
Size of the total moment (μB/cell): 0.00
Energy above the most stable polymorph in this dataset (meV per atom): 0.0
Space-group type: No. 166
DFT total energy (eV/atom): -2.339
E_form (uncorrected) (eV/atom): -0.710

Lattice parameters (Å, degrees): 3.5015 3.5015 33.1410 90.00 90.00 120.00
Fractional coordinates of all 12 atoms:
Zn 0.0000 0.0000 0.0000
Zn 0.3333 0.6667 0.6667
Zn 0.6667 0.3333 0.3333
I 0.0000 0.0000 0.5000
I 0.3333 0.6667 0.1667
I 0.6667 0.3333 0.8333
Cl 0.0000 0.0000 0.3757
Cl 0.0000 0.0000 0.6243
Cl 0.3333 0.6667 0.0424
Cl 0.3333 0.6667 0.2909
Cl 0.6667 0.3333 0.7091
Cl 0.6667 0.3333 0.9576

(2)
# Li2PtS

A relaxed Li2PtS crystal (PBE-GGA, the Alexandria database).

Values from the calculation:
Size of the total moment (μB/cell): 0.00
Energy above the most stable polymorph in this dataset (meV per atom): 113.3
Space-group type: No. 225
DFT total energy (eV/atom): -3.950
E_form (uncorrected) (eV/atom): -0.451

Lattice parameters (Å, degrees): 6.0083 6.0083 6.0083 90.00 90.00 90.00
Fractional coordinates of all 16 atoms:
Li 0.2500 0.2500 0.2500
Li 0.2500 0.2500 0.7500
Li 0.2500 0.7500 0.2500
Li 0.2500 0.7500 0.7500
Li 0.7500 0.2500 0.2500
Li 0.7500 0.2500 0.7500
Li 0.7500 0.7500 0.2500
Li 0.7500 0.7500 0.7500
Pt 0.0000 0.0000 0.0000
Pt 0.0000 0.5000 0.5000
Pt 0.5000 0.0000 0.5000
Pt 0.5000 0.5000 0.0000
S 0.0000 0.0000 0.5000
S 0.0000 0.5000 0.0000
S 0.5000 0.0000 0.0000
S 0.5000 0.5000 0.5000

(3)
# Ac3Cd2Os

A relaxed Ac3Cd2Os crystal (PBE-GGA, the Alexandria database).

Values from the calculation:
Size of the total moment (μB/cell): 0.00
Space-group type: No. 10
ΔE_f (eV per formula unit): -0.830
DFT total energy (eV/atom): -4.369

Lattice parameters (Å, degrees): 5.7496 4.1727 8.9694 90.00 108.52 90.00
Fractional coordinates of all 6 atoms:
Ac 0.0000 0.0000 0.0000
Ac 0.3743 0.5000 0.7476
Ac 0.6257 0.5000 0.2524
Cd 0.2038 0.0000 0.4090
Cd 0.7962 0.0000 0.5910
Os 0.5000 0.0000 0.0000

(4)
# Sb2Pd2Br

A relaxed Sb2Pd2Br crystal (PBE-GGA, the Alexandria database).

Values from the calculation:
Size of the total moment (μB/cell): 0.00
Energy above the most stable polymorph in this dataset (meV per atom): 118.6
Space-group type: No. 127
DFT total energy (eV/atom): -4.229
E_form (uncorrected) (eV/atom): -0.168

Lattice parameters (Å, degrees): 7.9889 7.9889 3.4199 90.00 90.00 90.00
Fractional coordinates of all 10 atoms:
Sb 0.1457 0.3543 0.0000
Sb 0.3543 0.8543 0.0000
Sb 0.6457 0.1457 0.0000
Sb 0.8543 0.6457 0.0000
Pd 0.1345 0.6345 0.5000
Pd 0.3655 0.1345 0.5000
Pd 0.6345 0.8655 0.5000
Pd 0.8655 0.3655 0.5000
Br 0.0000 0.0000 0.5000
Br 0.5000 0.5000 0.5000

(5)
# TbDy2Co9

A relaxed TbDy2Co9 crystal (PBE-GGA, the Alexandria database).

Values from the calculation:
Size of the total moment (μB/cell): 10.60
Space-group type: No. 166
ΔE_f (eV per formula unit): -2.087
DFT total energy (eV/atom): -6.656

Lattice parameters (Å, degrees): 8.6089 8.6089 8.6089 33.61 33.61 33.61
Fractional coordinates of all 12 atoms:
Tb 0.0000 0.0000 0.0000
Dy 0.1398 0.1398 0.1398
Dy 0.8602 0.8602 0.8602
Co 0.0787 0.5826 0.5826
Co 0.3348 0.3348 0.3348
Co 0.4174 0.4174 0.9213
Co 0.4174 0.9214 0.4174
Co 0.5000 0.5000 0.5000
Co 0.5826 0.0787 0.5826
Co 0.5826 0.5826 0.0787
Co 0.6652 0.6652 0.6652
Co 0.9214 0.4174 0.4174

(6)
# PmBiOsO6

A relaxed PmBiOsO6 crystal (PBE-GGA, the Alexandria database).

Values from the calculation:
Size of the total moment (μB/cell): 3.89
Space-group type: No. 163
DFT total energy (eV/atom): -7.176
E_form (uncorrected) (eV/atom): -1.664

Lattice parameters (Å, degrees): 5.6810 5.6810 9.4494 90.00 90.00 120.00
Fractional coordinates of all 18 atoms:
Pm 0.3333 0.6667 0.2500
Pm 0.6667 0.3333 0.7500
Bi 0.0000 0.0000 0.0000
Bi 0.0000 0.0000 0.5000
Os 0.3333 0.6667 0.7500
Os 0.6667 0.3333 0.2500
O 0.0510 0.3810 0.6338
O 0.0510 0.6700 0.8662
O 0.3300 0.3810 0.8662
O 0.3300 0.9490 0.6338
O 0.3810 0.0510 0.1338
O 0.3810 0.3300 0.3662
O 0.6190 0.6700 0.6338
O 0.6190 0.9490 0.8662
O 0.6700 0.0510 0.3662
O 0.6700 0.6190 0.1338
O 0.9490 0.3300 0.1338
O 0.9490 0.6190 0.3662

(7)
# NaSr2Li3Sb4

A relaxed NaSr2Li3Sb4 crystal (PBE-GGA, the Alexandria database).

Values from the calculation:
Size of the total moment (μB/cell): 0.00
Space-group type: No. 115
DFT total energy (eV/atom): -3.376
E_form (uncorrected) (eV/atom): -0.684

Lattice parameters (Å, degrees): 4.6185 4.6185 12.5652 90.00 90.00 90.00
Fractional coordinates of all 10 atoms:
Na 0.0000 0.0000 0.0000
Sr 0.0000 0.5000 0.7424
Sr 0.5000 0.0000 0.2576
Li 0.0000 0.5000 0.3668
Li 0.5000 0.0000 0.6332
Li 0.5000 0.5000 0.0000
Sb 0.0000 0.0000 0.5000
Sb 0.0000 0.5000 0.1559
Sb 0.5000 0.0000 0.8441
Sb 0.5000 0.5000 0.5000

(8)
# CdHSN2

A relaxed CdHSN2 crystal (PBE-GGA, the Alexandria database).

Values from the calculation:
Size of the total moment (μB/cell): 0.00
Energy above the most stable polymorph in this dataset (meV per atom): 101.9
Space-group type: No. 123
DFT total energy (eV/atom): -2.989

Lattice parameters (Å, degrees): 4.2833 4.2833 3.3897 90.00 90.00 90.00
Fractional coordinates of all 5 atoms:
Cd 0.0000 0.0000 0.0000
H 0.0000 0.0000 0.5000
S 0.5000 0.5000 0.5000
N 0.0000 0.5000 0.0000
N 0.5000 0.0000 0.0000

(9)
# Tl12Te5Au3

A relaxed Tl12Te5Au3 crystal (PBE-GGA, the Alexandria database).

Values from the calculation:
Size of the total moment (μB/cell): 0.00
Space-group type: No. 230
DFT total energy (eV/atom): -2.767
E_form (uncorrected) (eV/atom): -0.070

Lattice parameters (Å, degrees): 15.9251 15.9251 15.9251 109.47 109.47 109.47
Fractional coordinates of all 80 atoms:
Tl 0.0669 0.2339 0.1416
Tl 0.0669 0.3330 0.9253
Tl 0.0747 0.6416 0.4077
Tl 0.0747 0.9331 0.6670
Tl 0.0923 0.7339 0.6670
Tl 0.0923 0.8584 0.4253
Tl 0.1416 0.0669 0.2339
Tl 0.1416 0.5747 0.9077
Tl 0.1670 0.2339 0.5923
Tl 0.1670 0.4331 0.5747
Tl 0.2339 0.1416 0.0669
Tl 0.2339 0.5923 0.1670
Tl 0.2661 0.3330 0.9077
Tl 0.2661 0.4331 0.3584
Tl 0.3330 0.9077 0.2661
Tl 0.3330 0.9253 0.0669
Tl 0.3584 0.2661 0.4331
Tl 0.3584 0.5923 0.9253
Tl 0.4077 0.0747 0.6416
Tl 0.4077 0.8330 0.7661
Tl 0.4253 0.0923 0.8584
Tl 0.4253 0.8330 0.5669
Tl 0.4331 0.3584 0.2661
Tl 0.4331 0.5747 0.1670
Tl 0.5669 0.4253 0.8330
Tl 0.5669 0.6416 0.7339
Tl 0.5747 0.1670 0.4331
Tl 0.5747 0.9077 0.1416
Tl 0.5923 0.1670 0.2339
Tl 0.5923 0.9253 0.3584
Tl 0.6416 0.4077 0.0747
Tl 0.6416 0.7339 0.5669
Tl 0.6670 0.0747 0.9331
Tl 0.6670 0.0923 0.7339
Tl 0.7339 0.5669 0.6416
Tl 0.7339 0.6670 0.0923
Tl 0.7661 0.4077 0.8330
Tl 0.7661 0.8584 0.9331
Tl 0.8330 0.5669 0.4253
Tl 0.8330 0.7661 0.4077
Tl 0.8584 0.4253 0.0923
Tl 0.8584 0.9331 0.7661
Tl 0.9077 0.1416 0.5747
Tl 0.9077 0.2661 0.3330
Tl 0.9253 0.0669 0.3330
Tl 0.9253 0.3584 0.5923
Tl 0.9331 0.6670 0.0747
Tl 0.9331 0.7661 0.8584
Te 0.0000 0.0000 0.0000
Te 0.0000 0.0000 0.5000
Te 0.0000 0.5000 0.0000
Te 0.0000 0.5000 0.5000
Te 0.1250 0.7500 0.8750
Te 0.1250 0.8750 0.2500
Te 0.2500 0.1250 0.8750
Te 0.2500 0.6250 0.3750
Te 0.3750 0.2500 0.6250
Te 0.3750 0.6250 0.7500
Te 0.5000 0.0000 0.0000
Te 0.5000 0.0000 0.5000
Te 0.5000 0.5000 0.0000
Te 0.5000 0.5000 0.5000
Te 0.6250 0.3750 0.2500
Te 0.6250 0.7500 0.3750
Te 0.7500 0.3750 0.6250
Te 0.7500 0.8750 0.1250
Te 0.8750 0.1250 0.7500
Te 0.8750 0.2500 0.1250
Au 0.1250 0.2500 0.3750
Au 0.1250 0.3750 0.7500
Au 0.2500 0.3750 0.1250
Au 0.2500 0.8750 0.6250
Au 0.3750 0.1250 0.2500
Au 0.3750 0.7500 0.1250
Au 0.6250 0.2500 0.8750
Au 0.6250 0.8750 0.7500
Au 0.7500 0.1250 0.3750
Au 0.7500 0.6250 0.8750
Au 0.8750 0.6250 0.2500
Au 0.8750 0.7500 0.6250

(10)
# BaTi2CrNi

A relaxed BaTi2CrNi crystal (PBE-GGA, the Alexandria database).

Values from the calculation:
Size of the total moment (μB/cell): 0.00
Space-group type: No. 123
ΔE_f (eV per formula unit): 5.314
DFT total energy (eV/atom): -5.561

Lattice parameters (Å, degrees): 4.4766 4.4766 5.8096 90.00 90.00 90.00
Fractional coordinates of all 5 atoms:
Ba 0.0000 0.0000 0.0000
Ti 0.0000 0.5000 0.5000
Ti 0.5000 0.0000 0.5000
Cr 0.0000 0.0000 0.5000
Ni 0.5000 0.5000 0.0000

(11)
# CaLa2Cd

A relaxed CaLa2Cd crystal (PBE-GGA, the Alexandria database).

Values from the calculation:
Size of the total moment (μB/cell): 0.00
Space-group type: No. 71
ΔE_f (eV per formula unit): -0.546
DFT total energy (eV/atom): -3.329

Lattice parameters (Å, degrees): 3.7256 5.6654 12.7855 90.00 90.00 90.00
Fractional coordinates of all 8 atoms:
Ca 0.0000 0.0000 0.0000
Ca 0.5000 0.5000 0.5000
La 0.0000 0.5000 0.2151
La 0.0000 0.5000 0.7849
La 0.5000 0.0000 0.2849
La 0.5000 0.0000 0.7151
Cd 0.0000 0.0000 0.5000
Cd 0.5000 0.5000 0.0000

(12)
# Pr2NdAl6

A relaxed Pr2NdAl6 crystal (PBE-GGA, the Alexandria database).

Values from the calculation:
Size of the total moment (μB/cell): 0.00
Energy above the most stable polymorph in this dataset (meV per atom): 263.2
Space-group type: No. 71
ΔE_f (eV per formula unit): -1.858
DFT total energy (eV/atom): -4.293

Lattice parameters (Å, degrees): 8.1076 8.1076 8.1076 147.65 125.81 64.54
Fractional coordinates of all 9 atoms:
Pr 0.1263 0.1263 0.0000
Pr 0.8737 0.8737 0.0000
Nd 0.5000 0.0000 0.5000
Al 0.1291 0.3192 0.8099
Al 0.1872 0.5000 0.6872
Al 0.4907 0.6808 0.8099
Al 0.5093 0.3192 0.1901
Al 0.8128 0.5000 0.3128
Al 0.8709 0.6808 0.1901

Theoretical density for the records above, in order: 3.73 7.38 8.92 8.16 9.67 8.05 4.37 4.63 7.87 4.90 5.30 4.27 Mg/m³